[1]
## V2CuIr (PBE)

Data for V2CuIr after structural relaxation.

Computed properties:
symmetry: No. 123
energy relative to the elements: -0.1457 eV/atom
spin magnetization: 0.00 μB per atom

Cell lengths 2.6885, 2.6885, 7.4837 Å; angles 90.00, 90.00, 90.00 degrees
Closest atoms and distances in Å follow each position.
Element x y z (fractional)
Ir 0.5000 0.5000 0.5000  8 V 2.66, 4 Ir 2.69
V 0.0000 0.0000 0.7487  4 Ir 2.66, 4 Cu 2.67, 4 V 2.69
V 0.0000 0.0000 0.2513  4 Ir 2.66, 4 Cu 2.67, 4 V 2.69
Cu 0.5000 0.5000 0.0000  8 V 2.67, 4 Cu 2.69

***

[2]
## MgSnGe (PBE)

Data for MgSnGe after structural relaxation.

Computed properties:
symmetry: No. 216
energy relative to the elements: 0.0612 eV/atom
spin magnetization: 0.00 μB per atom
offset from the most stable computed form: 67.7 meV/atom

Cell lengths 4.7975, 4.7975, 4.7975 Å; angles 60.00, 60.00, 60.00 degrees
Closest atoms and distances in Å follow each position.
Element x y z (fractional)
Ge 0.2500 0.2500 0.2500  4 Sn 2.94, 4 Mg 2.94
Mg 0.0000 0.0000 0.0000  4 Ge 2.94
Sn 0.5000 0.5000 0.5000  4 Ge 2.94

***

[3]
## BeCrICl2 (PBE)

Data for BeCrICl2 after structural relaxation.

Computed properties:
symmetry: No. 123
spin magnetization: 1.00 μB per atom
ΔE_f (raw): -234 meV per atom

Cell lengths 4.2237, 7.7361, 4.2237 Å; angles 90.00, 90.00, 90.00 degrees
Closest atoms and distances in Å follow each position.
Element x y z (fractional)
Be 0.0000 0.0000 0.0000  4 Cl 2.11
I 0.5000 0.5000 0.5000  4 Cr 2.99
Cr 0.0000 0.5000 0.0000  4 I 2.99
Cl 0.5000 0.0000 0.0000  2 Be 2.11
Cl 0.0000 0.0000 0.5000  2 Be 2.11

***

[4]
## Pr3Ho4Sn4 (PBE)

Data for Pr3Ho4Sn4 after structural relaxation.

Computed properties:
symmetry: No. 71
energy relative to the elements: -0.4219 eV/atom
spin magnetization: 0.00 μB per atom

Cell lengths 5.0060, 4.0439, 17.0369 Å; angles 96.82, 98.45, 90.00 degrees
Closest atoms and distances in Å follow each position.
Element x y z (fractional)
Ho 0.0945 0.5945 0.1891  3 Sn 2.99-3.02
Ho 0.7390 0.7390 0.4780  4 Sn 3.09-3.25, 4 Ho 3.30
Ho 0.2610 0.2610 0.5220  4 Sn 3.09-3.25, 4 Ho 3.30
Ho 0.9055 0.4055 0.8109  3 Sn 2.99-3.02
Pr 0.6466 0.1466 0.2931  4 Sn 3.46, 6 Ho 3.66-3.70
Pr 0.3534 0.8534 0.7069  4 Sn 3.46, 6 Ho 3.66-3.70
Pr 0.0000 0.0000 0.0000  8 Sn 3.56, 4 Ho 3.75
Sn 0.8151 0.3151 0.6301  5 Ho 3.02-3.25
Sn 0.1849 0.6849 0.3699  5 Ho 3.02-3.25
Sn 0.4545 0.4545 0.9089  2 Ho 2.99, 1 Sn 3.05
Sn 0.5455 0.5455 0.0911  2 Ho 2.99, 1 Sn 3.05

***

[5]
## KNa2Zn2 (PBE)

Data for KNa2Zn2 after structural relaxation.

Computed properties:
symmetry: No. 127
energy relative to the elements: 0.1286 eV/atom
spin magnetization: 0.00 μB per atom
offset from the most stable computed form: 33.9 meV/atom

Cell lengths 9.3127, 9.3127, 3.3641 Å; angles 90.00, 90.00, 90.00 degrees
Closest atoms and distances in Å follow each position.
Element x y z (fractional)
Na 0.1252 0.3748 0.0000  6 Zn 3.19-3.24, 3 Na 3.30-3.36
Na 0.8748 0.6252 0.0000  6 Zn 3.19-3.24, 3 Na 3.30-3.36
Na 0.6252 0.1252 0.0000  6 Zn 3.19-3.24, 3 Na 3.30-3.36
Na 0.3748 0.8748 0.0000  6 Zn 3.19-3.24, 3 Na 3.30-3.36
Zn 0.6689 0.8311 0.5000  6 Na 3.19-3.24, 2 Zn 3.36
Zn 0.8311 0.3311 0.5000  6 Na 3.19-3.24, 2 Zn 3.36
Zn 0.1689 0.6689 0.5000  6 Na 3.19-3.24, 2 Zn 3.36
Zn 0.3311 0.1689 0.5000  6 Na 3.19-3.24, 2 Zn 3.36
K 0.5000 0.5000 0.0000  2 K 3.36, 4 Na 3.68
K 0.0000 0.0000 0.0000  2 K 3.36, 4 Na 3.68

***

[6]
## GdTlH (PBE)

Data for GdTlH after structural relaxation.

Computed properties:
symmetry: No. 47
spin magnetization: 2.43 μB per atom
offset from the most stable computed form: 192.7 meV/atom

Cell lengths 3.5966, 3.7331, 9.6794 Å; angles 90.00, 90.00, 90.00 degrees
Closest atoms and distances in Å follow each position.
Element x y z (fractional)
Gd 0.5000 0.5000 0.2198  2 H 2.13
Gd 0.5000 0.5000 0.7802  2 H 2.13
H 0.0000 0.5000 0.3378  2 Gd 2.13
H 0.0000 0.5000 0.6622  2 Gd 2.13
Tl 0.0000 0.0000 0.0000  8 Gd 3.35, 4 Tl 3.60-3.73
Tl 0.5000 0.0000 0.5000  8 H 3.03, 4 Gd 3.29

***

[7]
## PmDyCuIr (PBE)

Data for PmDyCuIr after structural relaxation.

Computed properties:
symmetry: No. 38
energy relative to the elements: -0.5354 eV/atom
spin magnetization: 0.00 μB per atom
offset from the most stable computed form: 0.0 meV/atom

Cell lengths 3.8937, 4.3486, 5.6239 Å; angles 90.00, 110.25, 90.00 degrees
Closest atoms and distances in Å follow each position.
Element x y z (fractional)
Dy 0.8639 0.5000 0.7278  3 Cu 2.94-3.08, 4 Ir 2.98
Pm 0.1420 0.0000 0.2839  3 Ir 2.95-3.03, 4 Cu 3.01
Cu 0.5722 0.5000 0.1444  2 Ir 2.69, 2 Dy 2.94, 4 Pm 3.01
Ir 0.4219 0.0000 0.8439  2 Cu 2.69, 1 Pm 2.95, 4 Dy 2.98

***

[8]
## Ac2ErIn3 (PBE)

Data for Ac2ErIn3 after structural relaxation.

Computed properties:
symmetry: No. 63
energy relative to the elements: -0.2225 eV/atom
spin magnetization: 0.00 μB per atom
offset from the most stable computed form: 202.2 meV/atom

Cell lengths 5.9150, 8.4627, 8.4627 Å; angles 103.13, 90.00, 90.00 degrees
Closest atoms and distances in Å follow each position.
Element x y z (fractional)
In 0.0000 0.8061 0.1939  2 In 2.96, 2 Er 3.16
In 0.7500 0.4103 0.4103  1 Er 3.23, 2 In 3.51
In 0.0000 0.1939 0.8061  2 In 2.96, 2 Er 3.16
In 0.5000 0.8061 0.1939  2 In 2.96, 2 Er 3.16
In 0.2500 0.5897 0.5897  1 Er 3.23, 2 In 3.51
In 0.5000 0.1939 0.8061  2 In 2.96, 2 Er 3.16
Ac 0.2500 0.1541 0.4339  7 In 3.43-3.70, 1 Ac 3.71
Ac 0.7500 0.5661 0.8459  7 In 3.43-3.70, 1 Ac 3.71
Ac 0.7500 0.8459 0.5661  7 In 3.43-3.70, 1 Ac 3.71
Ac 0.2500 0.4339 0.1541  7 In 3.43-3.70, 1 Ac 3.71
Er 0.2500 0.8966 0.8966  5 In 3.16-3.23
Er 0.7500 0.1034 0.1034  5 In 3.16-3.23

***

[9]
## Ti3Te4H2 (PBE)

Data for Ti3Te4H2 after structural relaxation.

Computed properties:
symmetry: No. 156
DFT total energy: -5.01 eV/atom
spin magnetization: 0.21 μB per atom

Cell lengths 3.5427, 3.5427, 18.4575 Å; angles 90.00, 90.00, 120.00 degrees
Closest atoms and distances in Å follow each position.
Element x y z (fractional)
Te 0.0000 0.0000 0.6016  3 Ti 2.73
Te 0.6667 0.3333 0.4037  3 Ti 2.77
Te 0.6667 0.3333 0.2022  3 Ti 2.76
Te 0.0000 0.0000 0.8005  4 Ti 2.76-2.77, 3 H 2.88
Ti 0.0000 0.0000 0.9499  6 H 2.17-2.30
Ti 0.6667 0.3333 0.6993  6 Te 2.73-2.77
Ti 0.0000 0.0000 0.3029  6 Te 2.76-2.77
H 0.6667 0.3333 0.0064  1 H 1.77
H 0.6667 0.3333 0.9106  1 H 1.77

***

[10]
## KFe2Au (PBE)

Data for KFe2Au after structural relaxation.

Computed properties:
symmetry: No. 44
energy relative to the elements: 0.6506 eV/atom
spin magnetization: 1.40 μB per atom

Cell lengths 6.0225, 6.0225, 6.0225 Å; angles 153.28, 125.81, 61.42 degrees
Closest atoms and distances in Å follow each position.
Element x y z (fractional)
K 0.5051 0.5051 0.0000  2 K 2.78, 4 Fe 3.08
Fe 0.9825 0.9825 0.0000  2 Fe 2.31
Fe 0.8047 0.3047 0.5000  2 Fe 2.31
Au 0.2077 0.7077 0.5000  2 Fe 2.72, 2 Au 2.78

***

[11]
## NdGa6Ir3 (PBE)

Data for NdGa6Ir3 after structural relaxation.

Computed properties:
symmetry: No. 11
energy relative to the elements: -0.5254 eV/atom
spin magnetization: 0.00 μB per atom

Cell lengths 4.2745, 8.5955, 9.7043 Å; angles 85.85, 90.00, 90.00 degrees
Closest atoms and distances in Å follow each position.
Element x y z (fractional)
Ir 0.7500 0.1616 0.1194  7 Ga 2.56-2.75
Ir 0.7500 0.7303 0.5109  7 Ga 2.47-2.72
Ir 0.7500 0.3791 0.8505  7 Ga 2.49-2.68
Ir 0.2500 0.2697 0.4891  7 Ga 2.47-2.72
Ir 0.2500 0.8384 0.8806  7 Ga 2.56-2.75
Ir 0.2500 0.6209 0.1495  7 Ga 2.49-2.68
Ga 0.7500 0.6944 0.2611  3 Ir 2.47-2.50, 2 Ga 2.65-2.69
Ga 0.7500 0.6810 0.7778  4 Ir 2.59-2.75, 4 Ga 2.72-2.88
Ga 0.7500 0.8760 0.0283  3 Ir 2.61-2.67, 1 Ga 2.65
Ga 0.2500 0.1240 0.9717  3 Ir 2.61-2.67, 1 Ga 2.65
Ga 0.2500 0.8222 0.6137  3 Ir 2.51-2.60
Ga 0.2500 0.3190 0.2222  4 Ir 2.59-2.75, 4 Ga 2.72-2.88
Ga 0.2500 0.3056 0.7389  3 Ir 2.47-2.50, 2 Ga 2.65-2.69
Ga 0.7500 0.4337 0.5752  4 Ir 2.58-2.72, 4 Ga 2.79-2.84
Ga 0.2500 0.5395 0.9080  4 Ir 2.49-2.62, 3 Ga 2.69-2.72
Ga 0.7500 0.4605 0.0920  4 Ir 2.49-2.62, 3 Ga 2.69-2.72
Ga 0.2500 0.5663 0.4248  4 Ir 2.58-2.72, 4 Ga 2.79-2.84
Ga 0.7500 0.1778 0.3863  3 Ir 2.51-2.60
Nd 0.7500 0.0510 0.7091  10 Ga 3.09-3.45, 3 Ir 3.20-3.22
Nd 0.2500 0.9490 0.2909  10 Ga 3.09-3.45, 3 Ir 3.20-3.22

***

[12]
## Sc2PaMnC4 (PBE)

Data for Sc2PaMnC4 after structural relaxation.

Computed properties:
symmetry: No. 63
energy relative to the elements: -0.2478 eV/atom
spin magnetization: 0.06 μB per atom

Cell lengths 3.3072, 5.8527, 11.1599 Å; angles 90.00, 90.00, 106.41 degrees
Closest atoms and distances in Å follow each position.
Element x y z (fractional)
C 0.2704 0.5407 0.3700  1 Mn 1.76
C 0.7296 0.4593 0.8700  1 Mn 1.76
C 0.0000 0.0000 0.0000  4 Sc 2.25
C 0.2704 0.5407 0.1300  1 Mn 1.76
C 0.4242 0.8485 0.7500  2 Mn 1.96
C 0.0000 0.0000 0.5000  4 Sc 2.25
C 0.7296 0.4593 0.6300  1 Mn 1.76
C 0.5758 0.1515 0.2500  2 Mn 1.96
Mn 0.1691 0.3382 0.2500  4 C 1.76-1.96
Mn 0.8309 0.6618 0.7500  4 C 1.76-1.96
Sc 0.6290 0.2580 0.0443  6 C 2.25-2.48
Sc 0.6290 0.2580 0.4557  6 C 2.25-2.48
Sc 0.3710 0.7420 0.9557  6 C 2.25-2.48
Sc 0.3710 0.7420 0.5443  6 C 2.25-2.48
Pa 0.9093 0.8186 0.2500  6 C 2.50-2.64
Pa 0.0907 0.1814 0.7500  6 C 2.50-2.64

***

What is the formula in the fourth record?
Pr3Ho4Sn4